[1]
Below is SmGa3CoNi after structural relaxation, with properties calculated at the PBE level.

## Properties
Energy relative to the elements = -288.6 meV per atom

Cell and atoms, written as CIF:
```
data_SmGa3CoNi
_chemical_formula_sum 'Sm4 Ga12 Co4 Ni4'
_space_group_name_H-M_alt 'C m c m'
_space_group_IT_number 63
_space_group_name_Hall '-C 2c 2'
_cell_length_a 7.212
_cell_length_b 10.445
_cell_length_c 5.891
_cell_angle_alpha 90.00
_cell_angle_beta 90.00
_cell_angle_gamma 90.00
loop_
_atom_site_label
_atom_site_fract_x
_atom_site_fract_y
_atom_site_fract_z
Sm1 0.000 0.246 0.250
Ga1 0.000 0.250 0.750
Ga2 0.249 0.000 0.000
Co1 0.000 0.036 0.750
Ni1 0.000 0.466 0.750
```

---

[2]
Below is Na2BBr5 after structural relaxation, with properties calculated at the PBE level.

## Properties
Formation energy without anion corrections = -0.99 eV/atom

Cell and atoms, written as CIF:
```
data_Na2BBr5
_chemical_formula_sum 'Na8 B4 Br20'
_space_group_name_H-M_alt 'P n n m'
_space_group_IT_number 58
_space_group_name_Hall '-P 2 2n'
_cell_length_a 8.194
_cell_length_b 17.214
_cell_length_c 8.083
_cell_angle_alpha 90.00
_cell_angle_beta 90.00
_cell_angle_gamma 90.00
loop_
_atom_site_label
_atom_site_fract_x
_atom_site_fract_y
_atom_site_fract_z
Na1 0.000 0.000 0.248
Na2 0.002 0.384 0.500
B1 0.077 0.179 0.500
Br1 0.077 0.246 0.294
Br2 0.133 0.888 0.500
Br3 0.230 0.606 0.000
Br4 0.249 0.502 0.500
```

---

[3]
Below is NdYTm3Sc after structural relaxation, with properties calculated at the PBE level.

## Properties
Energy relative to the elements = 41.8 meV per atom

Cell and atoms, written as CIF:
```
data_NdYTm3Sc
_chemical_formula_sum 'Nd4 Y4 Tm12 Sc4'
_space_group_name_H-M_alt 'C m c m'
_space_group_IT_number 63
_space_group_name_Hall '-C 2c 2'
_cell_length_a 4.949
_cell_length_b 14.842
_cell_length_c 9.886
_cell_angle_alpha 90.00
_cell_angle_beta 90.00
_cell_angle_gamma 90.00
loop_
_atom_site_label
_atom_site_fract_x
_atom_site_fract_y
_atom_site_fract_z
Nd1 0.000 0.001 0.250
Y1 0.000 0.333 0.250
Tm1 0.000 0.165 0.000
Tm2 0.000 0.334 0.750
Sc1 0.000 0.500 0.000
```

---

[4]
Below is CdCu2BH after structural relaxation, with properties calculated at the PBE level.

Cell and atoms, written as CIF:
```
data_CdCu2BH
_chemical_formula_sum 'Cd1 Cu2 B1 H1'
_space_group_name_H-M_alt 'P 4/m m m'
_space_group_IT_number 123
_space_group_name_Hall '-P 4 2'
_cell_length_a 3.623
_cell_length_b 3.623
_cell_length_c 4.333
_cell_angle_alpha 90.00
_cell_angle_beta 90.00
_cell_angle_gamma 90.00
loop_
_atom_site_label
_atom_site_fract_x
_atom_site_fract_y
_atom_site_fract_z
Cd1 0.000 0.000 0.000
Cu1 0.000 0.500 0.500
B1 0.500 0.500 0.000
H1 0.000 0.000 0.500
```

---

| no. | DFT total energy (eV/atom) |
| --- | --- |
| 1 | -4.736 |
| 2 | -3.201 |
| 3 | -5.121 |
| 4 | -3.060 |